# 1
Compound: NpGa4Sn
Source: the Alexandria database
Functional: PBE
Structure: optimized geometry

```
data_NpGa4Sn
_cell_length_a 7.889
_cell_length_b 7.889
_cell_length_c 7.889
_cell_angle_alpha 90.00
_cell_angle_beta 90.00
_cell_angle_gamma 90.00
_symmetry_space_group_name_H-M 'F -4 3 m'
_symmetry_Int_Tables_number 216
_symmetry_space_group_name_Hall 'F -4 2 3'
loop_
_atom_site_label
_atom_site_fract_x
_atom_site_fract_y
_atom_site_fract_z
_atom_site_occupancy
Np1 0.000 0.000 0.000 1
Ga1 0.125 0.125 0.625 1
Sn1 0.250 0.250 0.250 1
```

Results
Calculated volume ... 20.45 Å³/atom
ΔE_f ... 0.035 eV/atom


# 2
Compound: NpGa2Sn2
Source: the Alexandria database
Functional: PBE
Structure: optimized geometry

```
data_NpGa2Sn2
_cell_length_a 4.8492
_cell_length_b 4.8492
_cell_length_c 12.2112
_cell_angle_alpha 90.00
_cell_angle_beta 90.00
_cell_angle_gamma 120.00
_symmetry_space_group_name_H-M 'P 63/m m c'
_symmetry_Int_Tables_number 194
_symmetry_space_group_name_Hall '-P 6c 2c'
loop_
_atom_site_label
_atom_site_fract_x
_atom_site_fract_y
_atom_site_fract_z
_atom_site_occupancy
Np1 0.0000 0.0000 0.2500 1
Ga1 0.0000 0.0000 0.0000 1
Ga2 0.3333 0.6667 0.2500 1
Sn1 0.3333 0.6667 0.6122 1
```

Results
Calculated volume ... 24.87 Å³/atom
ΔE_f ... 0.128 eV/atom


# 3
Compound: NpGaSn
Source: the Alexandria database
Functional: PBE
Structure: optimized geometry

```
data_NpGaSn
_cell_length_a 4.950
_cell_length_b 13.395
_cell_length_c 3.764
_cell_angle_alpha 90.00
_cell_angle_beta 90.00
_cell_angle_gamma 90.00
_symmetry_space_group_name_H-M 'C m c m'
_symmetry_Int_Tables_number 63
_symmetry_space_group_name_Hall '-C 2c 2'
loop_
_atom_site_label
_atom_site_fract_x
_atom_site_fract_y
_atom_site_fract_z
_atom_site_occupancy
Np1 0.000 0.057 0.250 1
Ga1 0.000 0.429 0.250 1
Sn1 0.000 0.257 0.750 1
```

Results
Calculated volume ... 20.80 Å³/atom
ΔE_f ... -0.100 eV/atom


# 4
Compound: NpGa5Sn
Source: the Alexandria database
Functional: PBE
Structure: optimized geometry

```
data_NpGa5Sn
_cell_length_a 4.296
_cell_length_b 4.296
_cell_length_c 8.336
_cell_angle_alpha 90.00
_cell_angle_beta 90.00
_cell_angle_gamma 90.00
_symmetry_space_group_name_H-M 'P 4/m m m'
_symmetry_Int_Tables_number 123
_symmetry_space_group_name_Hall '-P 4 2'
loop_
_atom_site_label
_atom_site_fract_x
_atom_site_fract_y
_atom_site_fract_z
_atom_site_occupancy
Np1 0.000 0.000 0.000 1
Ga1 0.000 0.500 0.250 1
Ga2 0.500 0.500 0.000 1
Sn1 0.000 0.000 0.500 1
```

Results
Calculated volume ... 21.98 Å³/atom
ΔE_f ... 0.010 eV/atom


# 5
Compound: SrNpGa4
Source: the Alexandria database
Functional: PBE
Structure: optimized geometry

```
data_SrNpGa4
_cell_length_a 7.991
_cell_length_b 7.991
_cell_length_c 7.991
_cell_angle_alpha 90.00
_cell_angle_beta 90.00
_cell_angle_gamma 90.00
_symmetry_space_group_name_H-M 'F -4 3 m'
_symmetry_Int_Tables_number 216
_symmetry_space_group_name_Hall 'F -4 2 3'
loop_
_atom_site_label
_atom_site_fract_x
_atom_site_fract_y
_atom_site_fract_z
_atom_site_occupancy
Sr1 0.000 0.000 0.000 1
Np1 0.250 0.250 0.250 1
Ga1 0.124 0.124 0.624 1
```

Results
Calculated volume ... 21.26 Å³/atom
ΔE_f ... -0.149 eV/atom


# 6
Compound: NpTaGa4
Source: the Alexandria database
Functional: PBE
Structure: optimized geometry

```
data_NpTaGa4
_cell_length_a 7.525
_cell_length_b 7.525
_cell_length_c 7.525
_cell_angle_alpha 90.00
_cell_angle_beta 90.00
_cell_angle_gamma 90.00
_symmetry_space_group_name_H-M 'F -4 3 m'
_symmetry_Int_Tables_number 216
_symmetry_space_group_name_Hall 'F -4 2 3'
loop_
_atom_site_label
_atom_site_fract_x
_atom_site_fract_y
_atom_site_fract_z
_atom_site_occupancy
Np1 0.000 0.000 0.000 1
Ta1 0.250 0.250 0.750 1
Ga1 0.125 0.125 0.375 1
```

Results
Calculated volume ... 17.75 Å³/atom
ΔE_f ... 0.019 eV/atom


# 7
Compound: NpTa2Ga
Source: the Alexandria database
Functional: PBE
Structure: optimized geometry

```
data_NpTa2Ga
_cell_length_a 2.9086
_cell_length_b 2.9086
_cell_length_c 30.6246
_cell_angle_alpha 90.00
_cell_angle_beta 90.00
_cell_angle_gamma 120.00
_symmetry_space_group_name_H-M 'R -3 m'
_symmetry_Int_Tables_number 166
_symmetry_space_group_name_Hall '-R 3 2"'
loop_
_atom_site_label
_atom_site_fract_x
_atom_site_fract_y
_atom_site_fract_z
_atom_site_occupancy
Np1 0.0000 0.0000 0.0000 1
Ta1 0.0000 0.0000 0.2423 1
Ga1 0.0000 0.0000 0.5000 1
```

Results
Calculated volume ... 18.70 Å³/atom
ΔE_f ... 0.243 eV/atom


# 8
Compound: NpTaGa2
Source: the Alexandria database
Functional: PBE
Structure: optimized geometry

```
data_NpTaGa2
_cell_length_a 2.9162
_cell_length_b 2.9162
_cell_length_c 29.7455
_cell_angle_alpha 90.00
_cell_angle_beta 90.00
_cell_angle_gamma 120.00
_symmetry_space_group_name_H-M 'R -3 m'
_symmetry_Int_Tables_number 166
_symmetry_space_group_name_Hall '-R 3 2"'
loop_
_atom_site_label
_atom_site_fract_x
_atom_site_fract_y
_atom_site_fract_z
_atom_site_occupancy
Np1 0.0000 0.0000 0.0000 1
Ta1 0.0000 0.0000 0.5000 1
Ga1 0.0000 0.0000 0.2442 1
```

Results
Calculated volume ... 18.26 Å³/atom
ΔE_f ... -0.028 eV/atom


# 9
Compound: TbNpGa
Source: the Alexandria database
Functional: PBE
Structure: optimized geometry

```
data_TbNpGa
_cell_length_a 15.733
_cell_length_b 3.570
_cell_length_c 5.001
_cell_angle_alpha 90.00
_cell_angle_beta 96.08
_cell_angle_gamma 90.00
_symmetry_space_group_name_H-M 'C 1 2/m 1'
_symmetry_Int_Tables_number 12
_symmetry_space_group_name_Hall '-C 2y'
loop_
_atom_site_label
_atom_site_fract_x
_atom_site_fract_y
_atom_site_fract_z
_atom_site_occupancy
Tb1 0.079 0.000 0.282 1
Np1 0.243 0.000 0.836 1
Ga1 0.088 0.500 0.788 1
```

Results
Calculated volume ... 23.28 Å³/atom
ΔE_f ... -0.201 eV/atom


# 10
Compound: TbNp2Ga9
Source: the Alexandria database
Functional: PBE
Structure: optimized geometry

```
data_TbNp2Ga9
_cell_length_a 4.261
_cell_length_b 4.261
_cell_length_c 12.856
_cell_angle_alpha 90.00
_cell_angle_beta 90.00
_cell_angle_gamma 90.00
_symmetry_space_group_name_H-M 'P 4/m m m'
_symmetry_Int_Tables_number 123
_symmetry_space_group_name_Hall '-P 4 2'
loop_
_atom_site_label
_atom_site_fract_x
_atom_site_fract_y
_atom_site_fract_z
_atom_site_occupancy
Tb1 0.000 0.000 0.000 1
Np1 0.000 0.000 0.333 1
Ga1 0.000 0.500 0.169 1
Ga2 0.000 0.500 0.500 1
Ga3 0.500 0.500 0.000 1
Ga4 0.500 0.500 0.335 1
```

Results
Calculated volume ... 19.45 Å³/atom
ΔE_f ... -0.319 eV/atom


# 11
Compound: TbNp2Ga9
Source: the Alexandria database
Functional: PBE
Structure: optimized geometry

```
data_TbNp2Ga9
_cell_length_a 5.4918
_cell_length_b 5.4918
_cell_length_c 26.7765
_cell_angle_alpha 90.00
_cell_angle_beta 90.00
_cell_angle_gamma 120.00
_symmetry_space_group_name_H-M 'R -3 m'
_symmetry_Int_Tables_number 166
_symmetry_space_group_name_Hall '-R 3 2"'
loop_
_atom_site_label
_atom_site_fract_x
_atom_site_fract_y
_atom_site_fract_z
_atom_site_occupancy
Tb1 0.0000 0.0000 0.0000 1
Np1 0.0000 0.0000 0.1439 1
Ga1 0.0000 0.0000 0.3354 1
Ga2 0.0000 0.0000 0.5000 1
Ga3 0.0072 0.5036 0.9155 1
```

Results
Calculated volume ... 19.43 Å³/atom
ΔE_f ... -0.185 eV/atom


# 12
Compound: TbNpGa6
Source: the Alexandria database
Functional: PBE
Structure: optimized geometry

```
data_TbNpGa6
_cell_length_a 6.2269
_cell_length_b 6.2269
_cell_length_c 4.6197
_cell_angle_alpha 90.00
_cell_angle_beta 90.00
_cell_angle_gamma 120.00
_symmetry_space_group_name_H-M 'P -6 m 2'
_symmetry_Int_Tables_number 187
_symmetry_space_group_name_Hall 'P -6 2'
loop_
_atom_site_label
_atom_site_fract_x
_atom_site_fract_y
_atom_site_fract_z
_atom_site_occupancy
Tb1 0.0000 0.0000 0.0000 1
Np1 0.3333 0.6667 0.5000 1
Ga1 0.3670 0.1835 0.5000 1
Ga2 0.5153 0.0307 0.0000 1
```

Results
Calculated volume ... 19.39 Å³/atom
ΔE_f ... -0.370 eV/atom